(1)
Compound: Pa2AlNi3Ge4
Source: the Alexandria database
Functional: GGA-PBE
Structure: optimized geometry

Lattice parameters (Å, degrees): 4.130 4.130 9.771 90.00 90.00 90.00
Element x y z (fractional)
Pa 0.500 0.000 0.242
Pa 0.000 0.500 0.758
Al 0.500 0.500 0.500
Ni 0.000 0.000 0.500
Ni 0.500 0.000 0.880
Ni 0.000 0.500 0.120
Ge 0.500 0.500 0.000
Ge 0.000 0.000 0.000
Ge 0.500 0.000 0.645
Ge 0.000 0.500 0.355

Summary:
DFT formation energy, kcal/mol of atoms: -12.02

(2)
Compound: PmAl2Ni2Ge
Source: the Alexandria database
Functional: GGA-PBE
Structure: optimized geometry

Lattice parameters (Å, degrees): 4.382 4.382 5.636 90.00 90.00 90.00
Element x y z (fractional)
Pm 0.000 0.000 0.500
Al 0.500 0.500 0.746
Al 0.500 0.500 0.254
Ni 0.500 0.000 0.000
Ni 0.000 0.500 0.000
Ge 0.000 0.000 0.000

Summary:
DFT formation energy, kcal/mol of atoms: -8.25

(3)
Compound: PmAlNi5Ge2
Source: the Alexandria database
Functional: GGA-PBE
Structure: optimized geometry

Lattice parameters (Å, degrees): 3.797 3.797 10.252 90.00 90.00 90.00
Element x y z (fractional)
Pm 0.000 0.000 0.500
Al 0.000 0.000 0.000
Ni 0.000 0.500 0.143
Ni 0.500 0.000 0.143
Ni 0.000 0.500 0.857
Ni 0.500 0.000 0.857
Ni 0.500 0.500 0.500
Ge 0.500 0.500 0.278
Ge 0.500 0.500 0.722

Summary:
DFT formation energy, kcal/mol of atoms: -5.45

(4)
Compound: PmAlNi4Ge2
Source: the Alexandria database
Functional: GGA-PBE
Structure: optimized geometry

Lattice parameters (Å, degrees): 4.058 4.058 8.703 76.52 76.52 60.00
Element x y z (fractional)
Pm 0.000 0.000 0.000
Al 0.500 0.500 0.500
Ni 0.408 0.408 0.776
Ni 0.864 0.864 0.409
Ni 0.136 0.136 0.591
Ni 0.592 0.592 0.224
Ge 0.756 0.756 0.733
Ge 0.244 0.244 0.267

Summary:
DFT formation energy, kcal/mol of atoms: -11.35

(5)
Compound: Pr2AlNi4Ge3
Source: the Alexandria database
Functional: GGA-PBE
Structure: optimized geometry

Lattice parameters (Å, degrees): 4.159 4.159 9.859 90.00 90.00 90.00
Element x y z (fractional)
Pr 0.500 0.000 0.246
Pr 0.000 0.500 0.754
Al 0.500 0.500 0.500
Ni 0.500 0.500 0.000
Ni 0.000 0.000 0.000
Ni 0.500 0.000 0.630
Ni 0.000 0.500 0.370
Ge 0.000 0.000 0.500
Ge 0.500 0.000 0.874
Ge 0.000 0.500 0.126

Summary:
DFT formation energy, kcal/mol of atoms: -15.77

(6)
Compound: PrAl2Ni4Ge
Source: the Alexandria database
Functional: GGA-PBE
Structure: optimized geometry

Lattice parameters (Å, degrees): 4.072 4.072 8.898 76.77 76.77 60.00
Element x y z (fractional)
Pr 0.000 0.000 0.000
Al 0.761 0.761 0.718
Al 0.239 0.239 0.282
Ni 0.409 0.409 0.773
Ni 0.864 0.864 0.408
Ni 0.136 0.136 0.592
Ni 0.591 0.591 0.227
Ge 0.500 0.500 0.500

Summary:
DFT formation energy, kcal/mol of atoms: -10.41

(7)
Compound: Rb2AlNiGe
Source: the Alexandria database
Functional: GGA-PBE
Structure: optimized geometry

Lattice parameters (Å, degrees): 6.785 4.402 6.785 90.00 90.00 90.00
Element x y z (fractional)
Ni 0.000 0.500 0.000
Ge 0.500 0.500 0.500
Al 0.000 0.000 0.000
Rb 0.000 0.000 0.500
Rb 0.500 0.000 0.000

Summary:
DFT formation energy, kcal/mol of atoms: 16.79

(8)
Compound: AlNiGeRh
Source: the Alexandria database
Functional: GGA-PBE
Structure: optimized geometry

Lattice parameters (Å, degrees): 4.234 4.234 4.234 60.00 60.00 60.00
Element x y z (fractional)
Ni 0.250 0.250 0.250
Ge 0.500 0.500 0.500
Rh 0.750 0.750 0.750
Al 0.000 0.000 0.000

Summary:
DFT formation energy, kcal/mol of atoms: -11.02

(9)
Compound: AlNiGeRu
Source: the Alexandria database
Functional: GGA-PBE
Structure: optimized geometry

Lattice parameters (Å, degrees): 4.216 4.216 4.216 60.00 60.00 60.00
Element x y z (fractional)
Ru 0.500 0.500 0.500
Ge 0.250 0.250 0.250
Al 0.750 0.750 0.750
Ni 0.000 0.000 0.000

Summary:
DFT formation energy, kcal/mol of atoms: -8.05

(10)
Compound: AlNi2GeS
Source: the Alexandria database
Functional: GGA-PBE
Structure: optimized geometry

Lattice parameters (Å, degrees): 4.433 4.561 4.433 90.00 90.00 90.00
Element x y z (fractional)
Ni 0.000 0.000 0.500
Ni 0.500 0.000 0.000
Ge 0.500 0.500 0.500
S 0.000 0.500 0.000
Al 0.000 0.000 0.000

Summary:
Energy relative to the elements, uncorrected, eV per atom: 0.647

(11)
Compound: AlNiGeSb2
Source: the Alexandria database
Functional: GGA-PBE
Structure: optimized geometry

Lattice parameters (Å, degrees): 5.330 4.702 5.330 90.00 90.00 90.00
Element x y z (fractional)
Sb 0.000 0.000 0.500
Sb 0.500 0.000 0.000
Ge 0.000 0.000 0.000
Al 0.000 0.500 0.000
Ni 0.500 0.500 0.500

Summary:
Energy relative to the elements, uncorrected, eV per atom: 1.011

(12)
Compound: ScAl2NiGe
Source: the Alexandria database
Functional: GGA-PBE
Structure: optimized geometry

Lattice parameters (Å, degrees): 4.865 4.306 4.865 90.00 90.00 90.00
Element x y z (fractional)
Sc 0.500 0.500 0.500
Ni 0.000 0.500 0.000
Ge 0.000 0.000 0.000
Al 0.000 0.000 0.500
Al 0.500 0.000 0.000

Summary:
DFT formation energy, kcal/mol of atoms: 7.77

no.,D(E_F) (states/eV/cell)
1,7.01
2,3.39
3,4.68
4,5.67
5,5.93
6,4.41
7,4.71
8,2.51
9,3.11
10,4.30
11,4.77
12,2.39